Record 1
Density functional theory data (PBE) for DySc3Pt2 after structural relaxation.

## Properties
DFT formation energy, eV per atom: -0.986
Space group: Pmc2_1, No. 26

abc: 4.5423 6.7997 8.3734
angles: 90.00 90.00 90.00
With the nearest neighbours (Å) after each atom.
Element x y z (fractional)
Sc (0.0000, 0.9851, 0.0756)  3 Pt 2.76-2.95
Sc (0.5000, 0.1452, 0.8331)  4 Pt 2.70-2.81
Sc (0.0000, 0.8570, 0.6846)  4 Pt 2.69-2.94
Sc (0.5000, 0.6452, 0.1669)  4 Pt 2.70-2.81
Sc (0.0000, 0.3570, 0.3154)  4 Pt 2.69-2.94
Sc (0.0000, 0.4851, 0.9244)  3 Pt 2.76-2.95
Pt (0.5000, 0.7481, 0.8516)  6 Sc 2.70-2.95, 1 Dy 2.81
Pt (0.5000, 0.2481, 0.1484)  6 Sc 2.70-2.95, 1 Dy 2.81
Pt (0.0000, 0.2507, 0.6555)  5 Sc 2.69-2.94, 2 Dy 2.97
Pt (0.0000, 0.7507, 0.3445)  5 Sc 2.69-2.94, 2 Dy 2.97
Dy (0.5000, 0.0139, 0.4254)  3 Pt 2.81-2.97
Dy (0.5000, 0.5139, 0.5746)  3 Pt 2.81-2.97

=====

Record 2
Density functional theory data (PBE) for BaTe2MoI after structural relaxation.

## Properties
Raw formation energy, kJ/mol of formula units: 385
Offset from the most stable computed form, meV/atom: 1217
Space group: P4/mmm, No. 123

abc: 6.6480 6.6480 6.5186
angles: 90.00 90.00 90.00
With the nearest neighbours (Å) after each atom.
Element x y z (fractional)
I (0.0000, 0.0000, 0.5000)  2 Ba 3.26
Ba (0.0000, 0.0000, 0.0000)  2 I 3.26, 4 Te 3.32
Mo (0.5000, 0.5000, 0.5000)  8 Te 4.66, 4 I 4.70
Te (0.5000, 0.0000, 0.0000)  2 Ba 3.32
Te (0.0000, 0.5000, 0.0000)  2 Ba 3.32

=====

Number 1: DFT total energy -6.93 eV per atom. Number 2: DFT total energy -3.32 eV per atom.